[1]
The following is a PBE calculation of a relaxed structure of Ba6HgPtRh, from the Alexandria database.

Cell lengths 8.0328, 8.0328, 15.3677 Å; angles 90.00, 90.00, 120.00 degrees
Space group P-31c (No. 163)
Unique sites:
Ba 0.0059 0.3559 0.1365 [12 per cell]
Hg 0.0000 0.0000 0.0000 [2 per cell]
Pt 0.3333 0.6667 0.7500 [2 per cell]
Rh 0.3333 0.6667 0.2500 [2 per cell]

* mass density: 5115 kg/m³
* volume: 429 Å³/f.u.
* calculated formation energy: -0.399 eV/atom

[2]
The following is a PBE calculation of a relaxed structure of BaLiTl2Cd, from the Alexandria database.

Cell lengths 5.316, 5.316, 5.271 Å; angles 90.00, 90.00, 90.00 degrees
Space group P4/mmm (No. 123)
Unique sites:
Ba 0.000 0.000 0.000 [1 per cell]
Li 0.500 0.500 0.500 [1 per cell]
Tl 0.000 0.500 0.500 [2 per cell]
Cd 0.500 0.500 0.000 [1 per cell]

* mass density: 7420 kg/m³
* volume: 149 Å³/f.u.
* calculated formation energy: -0.207 eV/atom

[3]
The following is a PBE calculation of a relaxed structure of BaLaCl2, from the Alexandria database.

Cell lengths 4.3888, 4.3888, 30.6319 Å; angles 90.00, 90.00, 120.00 degrees
Space group R3m (No. 160, hexagonal axes)
Unique sites:
Ba 0.0000 0.0000 0.0000 [3 per cell]
La 0.0000 0.0000 0.7832 [3 per cell]
Cl 0.0000 0.0000 0.2774 [3 per cell]
Cl 0.0000 0.0000 0.4974 [3 per cell]

* mass density: 3384 kg/m³
* final energy: -49.5 eV for the cell shown
* volume: 170 Å³/f.u.

[4]
The following is a PBE calculation of a relaxed structure of LiZn2Cu8, from the Alexandria database.

Cell lengths 13.072, 3.698, 5.902 Å; angles 90.00, 107.37, 90.00 degrees
Space group C2/m (No. 12)
Unique sites:
Li 0.000 0.000 0.000 [2 per cell]
Zn 0.226 0.500 0.643 [4 per cell]
Cu 0.045 0.500 0.726 [4 per cell]
Cu 0.089 0.000 0.455 [4 per cell]
Cu 0.135 0.500 0.182 [4 per cell]
Cu 0.181 0.000 0.912 [4 per cell]

* mass density: 7882 kg/m³
* volume: 136 Å³/f.u.
* calculated formation energy: -0.051 eV/atom

[5]
The following is a PBE calculation of a relaxed structure of TcMoW4, from the Alexandria database.

Cell lengths 7.181, 7.196, 4.703 Å; angles 90.00, 90.00, 90.00 degrees
Space group Cmmm (No. 65)
Unique sites:
Tc 0.000 0.000 0.000 [2 per cell]
Mo 0.000 0.500 0.500 [2 per cell]
W 0.000 0.167 0.500 [4 per cell]
W 0.171 0.500 0.000 [4 per cell]

* mass density: 12700 kg/m³
* volume: 122 Å³/f.u.
* calculated formation energy: 1.869 eV/atom

[6]
The following is a PBE calculation of a relaxed structure of CaOsRh4, from the Alexandria database.

Cell lengths 7.328, 7.328, 7.328 Å; angles 90.00, 90.00, 90.00 degrees
Space group F-43m (No. 216)
Unique sites:
Ca 0.000 0.000 0.000 [4 per cell]
Os 0.250 0.250 0.750 [4 per cell]
Rh 0.125 0.125 0.375 [16 per cell]

* mass density: 10836 kg/m³
* volume: 98 Å³/f.u.
* calculated formation energy: 0.276 eV/atom

> Look up the volume of the fifth one.

122 Å³/f.u.

> Among the records above, which one has the highest mass density?

TcMoW4

> The highest mass density belongs to which entry?

TcMoW4

> What is the formula in the first record?

Ba6HgPtRh